# 1
Crystalline Np2ZnGe4Pd3 at its relaxed geometry. Source: the Alexandria database, functional PBE.

POSCAR file:
```
Np2ZnGe4Pd3
1.0
-3.3309 2.5554 -0.2369
-2.1138 -2.5116 2.6278
3.6887 5.5771 8.2978
Pd Np Ge Zn
3 2 4 1
Direct
0.0000 0.0000 0.5000
0.5000 0.0000 0.8683
0.0000 0.5000 0.1317
0.5000 0.0000 0.2518
0.0000 0.5000 0.7482
0.5000 0.5000 0.0000
0.0000 0.5000 0.3606
0.5000 0.0000 0.6394
0.0000 0.0000 0.0000
0.5000 0.5000 0.5000
```

=====

# 2
Crystalline PmNpGe2 at its relaxed geometry. Source: the Alexandria database, functional PBE.

POSCAR file:
```
PmNpGe2
1.0
4.1307 0.0000 0.0000
2.0653 3.5773 0.0000
2.0653 1.1924 7.0482
Ge Pm Np
2 1 1
Direct
0.2451 0.2451 0.2646
0.7549 0.7549 0.7354
0.0000 0.0000 0.0000
0.5000 0.5000 0.5000
```

=====

# 3
Crystalline PmNpGe2 at its relaxed geometry. Source: the Alexandria database, functional PBE.

POSCAR file:
```
PmNpGe2
1.0
3.3186 0.0000 0.0000
0.0000 3.3186 0.0000
0.0000 0.0000 8.2365
Ge Pm Np
2 1 1
Direct
0.0000 0.0000 0.2428
0.0000 0.0000 0.7572
0.5000 0.5000 0.5000
0.5000 0.5000 0.0000
```

=====

# 4
Crystalline PmNpGe4 at its relaxed geometry. Source: the Alexandria database, functional PBE.

POSCAR file:
```
PmNpGe4
1.0
-4.2741 0.3126 -3.6413
-0.2953 -3.6056 -4.3055
-3.9499 -4.0026 -0.0498
Ge Np Pm
4 1 1
Direct
0.1274 0.6242 0.6242
0.6242 0.6242 0.6242
0.6242 0.1274 0.6242
0.6242 0.6242 0.1274
0.2500 0.2500 0.2500
0.0000 0.0000 0.0000
```

=====

# 5
Crystalline PmNpGeRu at its relaxed geometry. Source: the Alexandria database, functional PBE.

POSCAR file:
```
PmNpGeRu
1.0
-4.3930 -1.9083 1.3733
-0.4995 -2.1351 4.4741
-2.6916 2.2415 3.5435
Pm Ru Np Ge
1 1 1 1
Direct
0.7500 0.7500 0.7500
0.0000 0.0000 0.0000
0.2500 0.2500 0.2500
0.5000 0.5000 0.5000
```

=====

# 6
Crystalline PmNpSnGe at its relaxed geometry. Source: the Alexandria database, functional PBE.

POSCAR file:
```
PmNpSnGe
1.0
5.2518 0.0000 0.0000
2.6259 4.5482 0.0000
2.6259 1.5161 4.2881
Sn Ge Np Pm
1 1 1 1
Direct
0.7500 0.7500 0.7500
0.2500 0.2500 0.2500
0.0000 0.0000 0.0000
0.5000 0.5000 0.5000
```

=====

| no. | DOS(E_F) (states/eV/atom) | calculated formation energy (eV/atom) |
| --- | --- | --- |
| 1 | 2.079 | -0.35 |
| 2 | 2.539 | -0.28 |
| 3 | 1.671 | -0.36 |
| 4 | 2.389 | -0.16 |
| 5 | 1.950 | -0.06 |
| 6 | 2.222 | -0.20 |